<one>
Computed, not measured: a geometry-optimized WC2Br structure at the PBE level of DFT.

Calculated values
The calculation puts the volume at 148.9 Å³ per cell. For the mass density, the calculation gives 6.42 g cm⁻³.

a b c (Å): 5.5373 5.5373 6.2392
angles (deg): 63.66 63.66 90.00
Atoms (fractional coordinates):
C 0.7551 0.1250 0.2500
C 0.9949 0.6250 0.2500
C 0.3750 0.2449 0.7500
C 0.8750 0.0051 0.7500
Br 0.5000 0.5000 0.0000
Br 0.2500 0.7500 0.5000
W 0.0000 0.0000 0.0000
W 0.7500 0.2500 0.5000

=====

<two>
Computed, not measured: a geometry-optimized WC2Br structure at the PBE level of DFT.

Calculated values
The calculation puts the volume at 45.8 Å³ per cell. For the mass density, the calculation gives 10.43 g cm⁻³.

a b c (Å): 4.0170 4.0170 4.0170
angles (deg): 60.00 60.00 60.00
Atoms (fractional coordinates):
C 0.2500 0.2500 0.2500
C 0.7500 0.7500 0.7500
Br 0.0000 0.0000 0.0000
W 0.5000 0.5000 0.5000

=====

Stability verdict: <one>, ahead by 1269 meV per atom

=====

<one>
Computed, not measured: a geometry-optimized WCBr2 structure at the PBE level of DFT.

Calculated values
The calculation puts the volume at 62.9 Å³ per cell. For the mass density, the calculation gives 9.38 g cm⁻³.

a b c (Å): 4.4648 4.4648 4.4648
angles (deg): 60.00 60.00 60.00
Atoms (fractional coordinates):
C 0.0000 0.0000 0.0000
Br 0.2500 0.2500 0.2500
Br 0.7500 0.7500 0.7500
W 0.5000 0.5000 0.5000

=====

<two>
Computed, not measured: a geometry-optimized WCBr2 structure at the PBE level of DFT.

Calculated values
The calculation puts the volume at 71.3 Å³ per cell. For the mass density, the calculation gives 8.29 g cm⁻³.

a b c (Å): 8.5265 8.5265 8.5265
angles (deg): 21.24 21.24 21.24
Atoms (fractional coordinates):
C 0.5000 0.5000 0.5000
Br 0.9006 0.9006 0.9006
Br 0.0994 0.0994 0.0994
W 0.0000 0.0000 0.0000

=====

Stability verdict: <two>, ahead by 74 meV per atom

=====

<one>
Computed, not measured: a geometry-optimized WC3Br structure at the PBE level of DFT.

Calculated values
The calculation puts the volume at 74.5 Å³ per cell. For the mass density, the calculation gives 6.68 g cm⁻³.

a b c (Å): 4.2085 4.2085 4.2085
angles (deg): 90.00 90.00 90.00
Atoms (fractional coordinates):
C 0.0000 0.5000 0.0000
C 0.0000 0.0000 0.5000
C 0.5000 0.0000 0.0000
Br 0.5000 0.5000 0.5000
W 0.0000 0.0000 0.0000

=====

<two>
Computed, not measured: a geometry-optimized WC3Br structure at the PBE level of DFT.

Calculated values
The calculation puts the volume at 56.6 Å³ per cell. For the mass density, the calculation gives 8.80 g cm⁻³.

a b c (Å): 3.8394 3.8394 3.8394
angles (deg): 90.00 90.00 90.00
Atoms (fractional coordinates):
C 0.0000 0.5000 0.0000
C 0.0000 0.0000 0.5000
C 0.5000 0.0000 0.0000
Br 0.0000 0.0000 0.0000
W 0.5000 0.5000 0.5000

=====

Stability verdict: <one>, ahead by 1463 meV per atom

=====

<one>
Computed, not measured: a geometry-optimized YC3Br structure at the PBE level of DFT.

Calculated values
The calculation puts the volume at 106.4 Å³ per cell. For the mass density, the calculation gives 3.20 g cm⁻³.

a b c (Å): 4.7390 4.7390 4.7390
angles (deg): 90.00 90.00 90.00
Each line ends with the local moment (μB).
Atoms (fractional coordinates):
Y 0.0000 0.0000 0.0000  0.15
C 0.0000 0.5000 0.0000  0.42
C 0.0000 0.0000 0.5000  0.35
C 0.5000 0.0000 0.0000  0.36
Br 0.5000 0.5000 0.5000  0.30

=====

<two>
Computed, not measured: a geometry-optimized YC3Br structure at the PBE level of DFT.

Calculated values
The calculation puts the volume at 66.6 Å³ per cell. For the mass density, the calculation gives 5.11 g cm⁻³.

a b c (Å): 4.0539 4.0539 4.0539
angles (deg): 90.00 90.00 90.00
Atoms (fractional coordinates):
Y 0.5000 0.5000 0.5000
C 0.0000 0.5000 0.0000
C 0.0000 0.0000 0.5000
C 0.5000 0.0000 0.0000
Br 0.0000 0.0000 0.0000

=====

Stability verdict: <two>, ahead by 445 meV per atom

=====

<one>
Computed, not measured: a geometry-optimized YCBr2 structure at the PBE level of DFT.

Calculated values
The calculation puts the volume at 188.8 Å³ per cell. For the mass density, the calculation gives 4.59 g cm⁻³.

a b c (Å): 4.4944 4.4944 9.8728
angles (deg): 76.84 76.84 90.00
Each line ends with the local moment (μB).
Atoms (fractional coordinates):
Y 0.0000 0.0000 0.0000  0.04
Y 0.7500 0.2500 0.5000  0.04
C 0.5000 0.5000 0.0000  0.31
C 0.2500 0.7500 0.5000  0.31
Br 0.6175 0.1250 0.2500  0.08
Br 0.1325 0.6250 0.2500  0.07
Br 0.3750 0.3825 0.7500  0.06
Br 0.8750 0.8675 0.7500  0.06

=====

<two>
Computed, not measured: a geometry-optimized YCBr2 structure at the PBE level of DFT.

Calculated values
The calculation puts the volume at 105.0 Å³ per cell. For the mass density, the calculation gives 4.12 g cm⁻³.

a b c (Å): 8.6615 8.6615 8.6615
angles (deg): 25.37 25.37 25.37
Each line ends with the local moment (μB).
Atoms (fractional coordinates):
Y 0.0000 0.0000 0.0000  0.07
C 0.5000 0.5000 0.5000  0.51
Br 0.8905 0.8905 0.8905  0.00
Br 0.1095 0.1095 0.1095  0.00

=====

<three>
Computed, not measured: a geometry-optimized YCBr2 structure at the PBE level of DFT.

Calculated values
The calculation puts the volume at 87.5 Å³ per cell. For the mass density, the calculation gives 4.95 g cm⁻³.

a b c (Å): 4.9839 4.9839 4.9839
angles (deg): 60.00 60.00 60.00
Each line ends with the local moment (μB).
Atoms (fractional coordinates):
Y 0.5000 0.5000 0.5000  0.28
C 0.0000 0.0000 0.0000  1.07
Br 0.2500 0.2500 0.2500  0.09
Br 0.7500 0.7500 0.7500  0.09

=====

Stability verdict: <three>, ahead by 109 meV per atom

=====

<one>
Computed, not measured: a geometry-optimized YC2Br structure at the PBE level of DFT.

Calculated values
The calculation puts the volume at 61.1 Å³ per cell. For the mass density, the calculation gives 5.24 g cm⁻³.

a b c (Å): 4.4201 4.4201 4.4201
angles (deg): 60.00 60.00 60.00
Atoms (fractional coordinates):
Y 0.5000 0.5000 0.5000
C 0.2500 0.2500 0.2500
C 0.7500 0.7500 0.7500
Br 0.0000 0.0000 0.0000

=====

<two>
Computed, not measured: a geometry-optimized YC2Br structure at the PBE level of DFT.

Calculated values
The calculation puts the volume at 153.1 Å³ per cell. For the mass density, the calculation gives 4.18 g cm⁻³.

a b c (Å): 5.2622 5.2622 6.6650
angles (deg): 66.75 66.75 90.00
Atoms (fractional coordinates):
Y 0.0000 0.0000 0.0000
Y 0.7500 0.2500 0.5000
C 0.6010 0.1250 0.2500
C 0.1490 0.6250 0.2500
C 0.3750 0.3990 0.7500
C 0.8750 0.8510 0.7500
Br 0.5000 0.5000 0.0000
Br 0.2500 0.7500 0.5000

=====

Stability verdict: <two>, ahead by 154 meV per atom